Entry w
# CaDyCuRh

CaDyCuRh after structural relaxation (PBE, Alexandria).

abc: 6.909 6.909 6.909
angles: 90.00 90.00 90.00
Space group F-43m (No. 216)
Inequivalent atoms, fractional coordinates:
Ca 0.000 0.000 0.000 (multiplicity 4)
Dy 0.000 0.000 0.500 (multiplicity 4)
Cu 0.250 0.250 0.250 (multiplicity 4)
Rh 0.250 0.250 0.750 (multiplicity 4)

- Density of states at the Fermi level: 0.644 states/eV/atom

Entry x
# CaDyCuRh

CaDyCuRh after structural relaxation (PBE, Alexandria).

abc: 4.137 3.896 10.977
angles: 90.00 90.00 90.00
Space group Amm2 (No. 38)
Inequivalent atoms, fractional coordinates:
Ca 0.000 0.000 0.000 (multiplicity 2)
Dy 0.500 0.000 0.282 (multiplicity 2)
Cu 0.500 0.000 0.576 (multiplicity 2)
Rh 0.000 0.000 0.723 (multiplicity 2)

- Density of states at the Fermi level: 0.585 states/eV/atom

Stability, highest: entry x

Entry w
# CaDyZnCu

CaDyZnCu after structural relaxation (PBE, Alexandria).

abc: 3.566 3.566 7.152
angles: 90.00 90.00 90.00
Space group P4mm (No. 99)
Inequivalent atoms, fractional coordinates:
Ca 0.000 0.000 0.000 (multiplicity 1)
Dy 0.000 0.000 0.515 (multiplicity 1)
Zn 0.500 0.500 0.275 (multiplicity 1)
Cu 0.500 0.500 0.727 (multiplicity 1)

- Density of states at the Fermi level: 0.804 states/eV/atom

Entry x
# CaDyZnCu

CaDyZnCu after structural relaxation (PBE, Alexandria).

abc: 7.103 7.103 7.103
angles: 90.00 90.00 90.00
Space group F-43m (No. 216)
Inequivalent atoms, fractional coordinates:
Ca 0.000 0.000 0.000 (multiplicity 4)
Dy 0.000 0.000 0.500 (multiplicity 4)
Zn 0.250 0.250 0.750 (multiplicity 4)
Cu 0.250 0.250 0.250 (multiplicity 4)

- Density of states at the Fermi level: 0.705 states/eV/atom

Stability, highest: entry w

Entry w
# CaErCu4

CaErCu4 after structural relaxation (PBE, Alexandria).

abc: 7.442 7.442 7.442
angles: 90.00 90.00 90.00
Space group F-43m (No. 216)
Inequivalent atoms, fractional coordinates:
Ca 0.000 0.000 0.000 (multiplicity 4)
Er 0.250 0.250 0.250 (multiplicity 4)
Cu 0.125 0.125 0.625 (multiplicity 16)

- Density of states at the Fermi level: 1.400 states/eV/atom

Entry x
# CaErCu4

CaErCu4 after structural relaxation (PBE, Alexandria).

abc: 4.2136 4.2136 7.4538
angles: 90.00 90.00 120.00
Space group P6/mmm (No. 191)
Inequivalent atoms, fractional coordinates:
Ca 0.0000 0.0000 0.0000 (multiplicity 1)
Er 0.0000 0.0000 0.5000 (multiplicity 1)
Cu 0.3333 0.6667 0.2729 (multiplicity 4)

- Density of states at the Fermi level: 0.597 states/eV/atom

Stability, highest: entry x

Entry w
# CaErCuPd

CaErCuPd after structural relaxation (PBE, Alexandria).

abc: 6.982 6.982 6.982
angles: 90.00 90.00 90.00
Space group F-43m (No. 216)
Inequivalent atoms, fractional coordinates:
Ca 0.000 0.000 0.000 (multiplicity 4)
Er 0.000 0.000 0.500 (multiplicity 4)
Cu 0.250 0.250 0.750 (multiplicity 4)
Pd 0.250 0.250 0.250 (multiplicity 4)

- Density of states at the Fermi level: 0.414 states/eV/atom

Entry x
# CaErCuPd

CaErCuPd after structural relaxation (PBE, Alexandria).

abc: 4.329 3.838 10.890
angles: 90.00 90.00 90.00
Space group Amm2 (No. 38)
Inequivalent atoms, fractional coordinates:
Ca 0.000 0.000 0.000 (multiplicity 2)
Er 0.500 0.000 0.721 (multiplicity 2)
Cu 0.500 0.000 0.426 (multiplicity 2)
Pd 0.000 0.000 0.278 (multiplicity 2)

- Density of states at the Fermi level: 0.658 states/eV/atom

Stability, highest: entry x

Entry w
# CaCu3F

CaCu3F after structural relaxation (PBE, Alexandria).

abc: 5.217 5.217 5.217
angles: 90.00 90.00 90.00
Space group Pm-3m (No. 221)
Inequivalent atoms, fractional coordinates:
Ca 0.000 0.000 0.000 (multiplicity 1)
Cu 0.000 0.000 0.500 (multiplicity 3)
F 0.500 0.500 0.500 (multiplicity 1)

- Density of states at the Fermi level: 2.935 states/eV/atom

Entry x
# CaCu3F

CaCu3F after structural relaxation (PBE, Alexandria).

abc: 4.402 4.402 4.402
angles: 90.00 90.00 90.00
Space group Pm-3m (No. 221)
Inequivalent atoms, fractional coordinates:
Ca 0.000 0.000 0.000 (multiplicity 1)
Cu 0.000 0.500 0.500 (multiplicity 3)
F 0.500 0.500 0.500 (multiplicity 1)

- Density of states at the Fermi level: 0.412 states/eV/atom

Stability, highest: entry x

Entry w
# Ca2CuF

Ca2CuF after structural relaxation (PBE, Alexandria).

abc: 3.5091 3.5091 26.5890
angles: 90.00 90.00 120.00
Space group R-3m (No. 166, hexagonal axes)
Inequivalent atoms, fractional coordinates:
Ca 0.0000 0.0000 0.1037 (multiplicity 6)
Cu 0.0000 0.0000 0.0000 (multiplicity 3)
F 0.0000 0.0000 0.5000 (multiplicity 3)

- Density of states at the Fermi level: 0.640 states/eV/atom

Entry x
# Ca2CuF

Ca2CuF after structural relaxation (PBE, Alexandria).

abc: 7.015 7.015 7.015
angles: 90.00 90.00 90.00
Space group Fm-3m (No. 225)
Inequivalent atoms, fractional coordinates:
Ca 0.250 0.250 0.250 (multiplicity 8)
Cu 0.000 0.000 0.000 (multiplicity 4)
F 0.000 0.000 0.500 (multiplicity 4)

- Density of states at the Fermi level: 0.387 states/eV/atom

Entry y
# Ca2CuF

Ca2CuF after structural relaxation (PBE, Alexandria).

abc: 6.720 6.720 8.137
angles: 90.00 90.00 90.00
Space group I-42d (No. 122)
Inequivalent atoms, fractional coordinates:
Ca 0.188 0.250 0.125 (multiplicity 8)
Cu 0.000 0.000 0.500 (multiplicity 4)
F 0.000 0.000 0.000 (multiplicity 4)

- Density of states at the Fermi level: 0.092 states/eV/atom

Stability, highest: entry y

Entry w
# CaCuF5

CaCuF5 after structural relaxation (PBE, Alexandria).

abc: 5.468 10.060 7.722
angles: 90.00 110.37 90.00
Space group P2_1/c (No. 14)
Inequivalent atoms, fractional coordinates:
Ca 0.029 0.020 0.256 (multiplicity 4)
Cu 0.385 0.247 0.598 (multiplicity 4)
F 0.102 0.120 0.551 (multiplicity 4)
F 0.137 0.112 0.007 (multiplicity 4)
F 0.340 0.635 0.363 (multiplicity 4)
F 0.344 0.203 0.337 (multiplicity 4)
F 0.387 0.605 0.812 (multiplicity 4)

- Density of states at the Fermi level: 0.488 states/eV/atom

Entry x
# CaCuF5

CaCuF5 after structural relaxation (PBE, Alexandria).

abc: 5.505 5.532 7.765
angles: 110.55 96.38 109.40
Space group P-1 (No. 2)
Inequivalent atoms, fractional coordinates:
Ca 0.046 0.294 0.247 (multiplicity 2)
Cu 0.500 0.000 0.500 (multiplicity 1)
Cu 0.500 0.500 0.000 (multiplicity 1)
F 0.203 0.731 0.527 (multiplicity 2)
F 0.224 0.157 0.979 (multiplicity 2)
F 0.238 0.570 0.874 (multiplicity 2)
F 0.281 0.122 0.393 (multiplicity 2)
F 0.424 0.673 0.238 (multiplicity 2)

- Density of states at the Fermi level: 0.218 states/eV/atom

Stability, highest: entry x

Entry w
# Ca2CuF6

Ca2CuF6 after structural relaxation (PBE, Alexandria).

abc: 5.048 5.048 10.374
angles: 90.00 90.00 90.00
Space group P4_2/mnm (No. 136)
Inequivalent atoms, fractional coordinates:
Ca 0.000 0.000 0.166 (multiplicity 4)
Cu 0.000 0.000 0.500 (multiplicity 2)
F 0.187 0.187 0.343 (multiplicity 8)
F 0.217 0.217 0.000 (multiplicity 4)

- Density of states at the Fermi level: 0.686 states/eV/atom

Entry x
# Ca2CuF6

Ca2CuF6 after structural relaxation (PBE, Alexandria).

abc: 4.120 4.120 16.296
angles: 90.00 90.00 90.00
Space group I-42m (No. 121)
Inequivalent atoms, fractional coordinates:
Ca 0.000 0.000 0.175 (multiplicity 4)
Cu 0.000 0.000 0.500 (multiplicity 2)
F 0.000 0.500 0.250 (multiplicity 4)
F 0.228 0.228 0.585 (multiplicity 8)

- Density of states at the Fermi level: 0.779 states/eV/atom

Stability, highest: entry w